The following is a PBE-GGA calculation of a relaxed structure of Mn2NbVH, from Alexandria.

Properties
DOS at the Fermi energy (states/eV/atom): 0.94
Uncorrected energy (Ha/atom): -0.2981

Cell lengths 4.0783, 4.0783, 3.3877 Å; angles 90.00, 90.00, 90.00 degrees
Closest atoms and distances in Å follow each position.
Space group P4/mmm (No. 123)
Unique sites:
Mn 0.0000 0.5000 0.0000 x2  2 H 2.04
Nb 0.0000 0.0000 0.5000 x1  8 Mn 2.65, 4 V 2.88
V 0.5000 0.5000 0.5000 x1  2 H 1.69
H 0.5000 0.5000 0.0000 x1  2 V 1.69